A relaxed Na3NbTe crystal, computed with GGA-PBE.

abc: 5.846 5.846 5.846
angles: 90.00 90.00 90.00
Positions (direct):
Na 0.000 0.000 0.500
Na 0.000 0.500 0.000
Na 0.500 0.000 0.000
Nb 0.500 0.500 0.500
Te 0.000 0.000 0.000

## Properties
- Mass density: 2.41 g/cm³
- Raw formation energy: 652 meV per atom
- VASP energy: -2.782 eV/atom
- D(E_F): 4.9 states/eV/f.u.
- E above lowest polymorph: 0.0 kJ/mol of atoms